No. 1
## Al2ZnHg (GGA-PBE)

Data for a relaxed Al2ZnHg crystal.

Structure (POSCAR):
```
Al2ZnHg
1.0
-1.4702 1.0553 -2.3604
-2.5780 -0.8067 1.2451
-0.5511 7.3927 3.6485
Zn Al Hg
1 2 1
direct
0.5000 0.5000 0.0000 Zn
0.0000 0.0000 0.7712 Al
0.0000 0.0000 0.2288 Al
0.5000 0.5000 0.5000 Hg
```

Computed properties:
The calculation puts the size of the total moment at 0.0000 μB/atom. As for the calculated formation energy: 155.7 meV per atom. The energy relative to the lowest polymorph listed for this composition comes out at 0.0578 eV per atom. The total DFT energy (no corrections) is -2.11 eV/atom. Its space-group type is P4/mmm.

***

No. 2
## SrBeAs (GGA-PBE)

Data for a relaxed SrBeAs crystal.

Structure (POSCAR):
```
SrBeAs
1.0
4.5255 0.0000 0.0000
2.2627 3.9192 0.0000
2.2627 1.3064 3.6950
Sr As Be
1 1 1
direct
0.0000 0.0000 0.0000 Sr
0.5000 0.5000 0.5000 As
0.7500 0.7500 0.7500 Be
```

Computed properties:
The calculation puts the size of the total moment at 0.0000 μB/atom. As for the calculated formation energy: -51.0 meV per atom. The energy relative to the lowest polymorph listed for this composition comes out at 0.5966 eV per atom. The total DFT energy (no corrections) is -3.40 eV/atom. Its space-group type is F-43m.

***

No. 3
## IrRu2Au (GGA-PBE)

Data for a relaxed IrRu2Au crystal.

Structure (POSCAR):
```
IrRu2Au
1.0
-3.0777 4.3768 3.0742
1.4607 -3.9901 2.1969
1.4678 1.5225 1.7961
Ru Ir Au
2 1 1
direct
0.0000 0.0000 0.0000 Ru
0.5000 0.0000 0.5000 Ru
0.5000 0.5000 0.0000 Ir
0.0000 0.5000 0.5000 Au
```

Computed properties:
The calculation puts the size of the total moment at 0.0006 μB/atom. As for the calculated formation energy: 350.3 meV per atom. The energy relative to the lowest polymorph listed for this composition comes out at 0.1364 eV per atom. The total DFT energy (no corrections) is -7.32 eV/atom. Its space-group type is Cmmm.

***

Q: Among the records above, which one has the lowest calculated formation energy?
A: SrBeAs